Entry 1:
# V5CoNi8 PBE relaxed
data_V5CoNi8
_space_group_name_H-M_alt 'I -4'
_space_group_IT_number 82
_cell_length_a 7.1414
_cell_length_b 7.1414
_cell_length_c 6.7837
_cell_angle_alpha 90.00
_cell_angle_beta 90.00
_cell_angle_gamma 90.00
loop_
_space_group_symop_operation_xyz
'x,y,z'
'y,-x,-z'
'-x,-y,z'
'-y,x,-z'
'x+1/2,y+1/2,z+1/2'
'y+1/2,-x+1/2,-z+1/2'
'-x+1/2,-y+1/2,z+1/2'
'-y+1/2,x+1/2,-z+1/2'
loop_
_atom_site_label
_atom_site_type_symbol
_atom_site_fract_x
_atom_site_fract_y
_atom_site_fract_z
V1 V 0.0000 0.0000 0.0000
V2 V 0.0940 0.1901 0.4077
Co1 Co 0.0000 0.5000 0.7500
Ni1 Ni 0.0627 0.3431 0.0898
Ni2 Ni 0.1280 0.2020 0.7629
# D(E_F)   1.3049 states/eV per atom
# E_form   0.113 eV per atom
# Total magnetic moment   1.82 μB/f.u.
# E_tot   -194.72 eV for the cell shown

---

Entry 2:
# BaCu3Bi PBE relaxed
data_BaCu3Bi
_space_group_name_H-M_alt 'P m -3 m'
_space_group_IT_number 221
_space_group_name_Hall '-P 4 2 3'
_cell_length_a 5.3582
_cell_length_b 5.3582
_cell_length_c 5.3582
_cell_angle_alpha 90.00
_cell_angle_beta 90.00
_cell_angle_gamma 90.00
loop_
_atom_site_label
_atom_site_type_symbol
_atom_site_fract_x
_atom_site_fract_y
_atom_site_fract_z
Ba1 Ba 0.0000 0.0000 0.0000
Cu1 Cu 0.0000 0.0000 0.5000
Bi1 Bi 0.5000 0.5000 0.5000
# D(E_F)   0.4973 states/eV per atom
# E_form   1.267 eV per atom
# Energy relative to the lowest polymorph listed for this composition   0.9713 eV/atom
# Total magnetic moment   0.00 μB/f.u.
# E_tot   -11.76 eV for the cell shown

---

Entry 3:
# Pr5Ho2TmTh PBE relaxed
data_Pr5Ho2TmTh
_space_group_name_H-M_alt 'C m c m'
_space_group_IT_number 63
_space_group_name_Hall '-C 2c 2'
_cell_length_a 5.4422
_cell_length_b 21.7062
_cell_length_c 10.6714
_cell_angle_alpha 90.00
_cell_angle_beta 90.00
_cell_angle_gamma 90.00
loop_
_atom_site_label
_atom_site_type_symbol
_atom_site_fract_x
_atom_site_fract_y
_atom_site_fract_z
Pr1 Pr 0.0000 0.0000 0.0000
Pr2 Pr 0.0000 0.1264 0.2500
Pr3 Pr 0.0000 0.2218 0.5572
Pr4 Pr 0.0000 0.4987 0.7500
Ho1 Ho 0.0000 0.3875 0.0041
Tm1 Tm 0.0000 0.1020 0.7500
Th1 Th 0.0000 0.2890 0.2500
# D(E_F)   1.4343 states/eV per atom
# E_form   0.140 eV per atom
# Total magnetic moment   0.00 μB/f.u.
# E_tot   -174.75 eV for the cell shown

---

What did the third record say?
# Pr5Ho2TmTh PBE relaxed
data_Pr5Ho2TmTh
_space_group_name_H-M_alt 'C m c m'
_space_group_IT_number 63
_space_group_name_Hall '-C 2c 2'
_cell_length_a 5.4422
_cell_length_b 21.7062
_cell_length_c 10.6714
_cell_angle_alpha 90.00
_cell_angle_beta 90.00
_cell_angle_gamma 90.00
loop_
_atom_site_label
_atom_site_type_symbol
_atom_site_fract_x
_atom_site_fract_y
_atom_site_fract_z
Pr1 Pr 0.0000 0.0000 0.0000
Pr2 Pr 0.0000 0.1264 0.2500
Pr3 Pr 0.0000 0.2218 0.5572
Pr4 Pr 0.0000 0.4987 0.7500
Ho1 Ho 0.0000 0.3875 0.0041
Tm1 Tm 0.0000 0.1020 0.7500
Th1 Th 0.0000 0.2890 0.2500
# D(E_F)   1.4343 states/eV per atom
# E_form   0.140 eV per atom
# Total magnetic moment   0.00 μB/f.u.
# E_tot   -174.75 eV for the cell shown

---

Look up the D(E_F) of the first one.
1.3049 states/eV per atom

---

Number 2 is which compound?
BaCu3Bi

---

What is the D(E_F) in the third record?
1.4343 states/eV per atom